[1]
VASP calculation (PBE) on Ce2CrP3Ir4 after structural relaxation.

Lattice parameters (Å, degrees): 4.0636 4.0636 10.0693 90.00 90.00 90.00
Last column: nearest neighbours and their distance in Å.
Positions (direct):
P: 0.5000 0.0000 0.8631  5 Ir 2.35-2.46
Cr: 0.5000 0.5000 0.5000  4 Ir 2.42
Ce: 0.0000 0.5000 0.7507  6 P 3.09-3.24, 8 Ir 3.12-3.23, 2 Cr 3.24
Ir: 0.5000 0.0000 0.6299  3 P 2.35-2.42, 2 Cr 2.42
Ir: 0.0000 0.5000 0.3701  3 P 2.35-2.42, 2 Cr 2.42
P: 0.0000 0.5000 0.1369  5 Ir 2.35-2.46
Ir: 0.5000 0.5000 0.0000  4 P 2.46
Ce: 0.5000 0.0000 0.2493  6 P 3.09-3.24, 8 Ir 3.12-3.23, 2 Cr 3.24
P: 0.0000 0.0000 0.5000  4 Ir 2.42
Ir: 0.0000 0.0000 0.0000  4 P 2.46

Calculated values
Energy of formation from the pure elements, eV/f.u.: -8.7
Calculated volume, Å³ per cell: 166
VASP energy, eV/atom: -8.188
Space group: P-4m2

***

[2]
VASP calculation (PBE) on KCeCrN3 after structural relaxation.

Lattice parameters (Å, degrees): 3.7660 7.0492 7.6521 105.13 90.00 105.49
Last column: nearest neighbours and their distance in Å.
Positions (direct):
N: 0.4898 0.9796 0.6811  2 Cr 1.89
N: 0.1335 0.2670 0.7729  1 Cr 1.75
Ce: 0.6578 0.3156 0.5766  7 N 2.37-2.61
N: 0.1633 0.3267 0.3922  1 Cr 2.15, 3 Ce 2.37-2.38
Ce: 0.3422 0.6844 0.4234  7 N 2.37-2.61
N: 0.5102 0.0204 0.3189  2 Cr 1.89
Cr: 0.9992 0.9984 0.3219  3 N 1.75-1.89
N: 0.8665 0.7330 0.2271  1 Cr 1.75
K: 0.6379 0.2759 0.0698  7 N 2.90-3.11
N: 0.8367 0.6733 0.6078  1 Cr 2.15, 3 Ce 2.37-2.38
K: 0.3621 0.7241 0.9302  7 N 2.90-3.11
Cr: 0.0008 0.0016 0.6781  3 N 1.75-1.89

Calculated values
Calculated volume, Å³ per cell: 188
VASP energy, eV/atom: -7.572
Space group: C2/m
Formation energy without anion corrections, meV per atom: -633

***

[3]
VASP calculation (PBE) on K2CeCrN4 after structural relaxation.

Lattice parameters (Å, degrees): 5.4680 7.8593 6.6708 90.00 90.00 90.00
Last column: nearest neighbours and their distance in Å.
Positions (direct):
Ce: 0.9624 0.0949 0.5000  3 N 2.12-2.27
Cr: 0.0101 0.1642 0.0000  4 N 1.73-1.78
N: 0.9288 0.9513 0.0000  1 Cr 1.73
N: 0.8260 0.8420 0.5000  1 Cr 1.73
N: 0.4288 0.0487 0.5000  1 Cr 1.73
K: 0.9556 0.6323 0.7672  2 N 2.53-2.73
N: 0.4308 0.7324 0.7285  1 Cr 1.78
N: 0.9308 0.2676 0.2285  1 Cr 1.78
Ce: 0.4624 0.9051 0.0000  3 N 2.12-2.27
K: 0.4556 0.3677 0.2672  2 N 2.53-2.73
K: 0.4556 0.3677 0.7328  2 N 2.53-2.73
N: 0.9308 0.2676 0.7715  1 Cr 1.78
N: 0.3260 0.1580 0.0000  1 Cr 1.73
Cr: 0.5101 0.8358 0.5000  4 N 1.73-1.78
N: 0.4308 0.7324 0.2715  1 Cr 1.78
K: 0.9556 0.6323 0.2328  2 N 2.53-2.73

Calculated values
Calculated volume, Å³ per cell: 287
VASP energy, eV/atom: -6.952
Space group: Pmn2_1
Formation energy without anion corrections, meV per atom: -570